{
  "formula": "Li4AgGe",
  "functional": "GGA-PBE",
  "state": "relaxed",
  "volume_a3_per_atom": 15.3,
  "magnetic_moment_mub_per_cell": 0.00,
  "energy_ev_per_fu": -16.80,
  "delta_e_f_mev_per_atom": -279.3,
  "e_above_lowest_polymorph_mev_per_atom": 0.0,
  "cell": [[5.357, 0.000, 0.000], [0.000, 4.459, 0.000], [-2.654, 0.000, 7.671]],
  "species": ["Li", "Li", "Li", "Li", "Li", "Li", "Li", "Li", "Ag", "Ag", "Ge", "Ge"],
  "fractional_positions": [[0.037, 0.250, 0.084], [0.192, 0.250, 0.416], [0.275, 0.750, 0.584], [0.454, 0.750, 0.916], [0.546, 0.250, 0.084], [0.725, 0.250, 0.416], [0.808, 0.750, 0.584], [0.963, 0.750, 0.916], [0.382, 0.750, 0.264], [0.618, 0.250, 0.736], [0.131, 0.250, 0.762], [0.869, 0.750, 0.238]]
}

---

{
  "formula": "Li3Ag6Ge2",
  "functional": "GGA-PBE",
  "state": "relaxed",
  "volume_a3_per_atom": 16.7,
  "magnetic_moment_mub_per_cell": 0.00,
  "energy_ev_per_fu": -33.52,
  "delta_e_f_mev_per_atom": -131.0,
  "cell": [[4.238, 0.000, 0.000], [-2.115, 4.579, 0.000], [-0.019, -1.951, 9.476]],
  "species": ["Li", "Li", "Li", "Ag", "Ag", "Ag", "Ag", "Ag", "Ag", "Ge", "Ge"],
  "fractional_positions": [[0.000, 0.000, 0.000], [0.095, 0.187, 0.638], [0.905, 0.813, 0.362], [0.282, 0.565, 0.906], [0.356, 0.716, 0.535], [0.443, 0.888, 0.194], [0.557, 0.112, 0.806], [0.644, 0.284, 0.465], [0.718, 0.435, 0.094], [0.172, 0.341, 0.274], [0.828, 0.659, 0.726]]
}

---

{
  "formula": "Li3Ag5Ge",
  "functional": "GGA-PBE",
  "state": "relaxed",
  "volume_a3_per_atom": 17.4,
  "magnetic_moment_mub_per_cell": 0.00,
  "energy_ev_per_fu": -25.02,
  "delta_e_f_mev_per_atom": -45.1,
  "cell": [[-3.673, 3.673, 5.788], [3.673, -3.673, 5.788], [3.673, 3.673, -5.788]],
  "species": ["Li", "Li", "Li", "Li", "Li", "Li", "Ag", "Ag", "Ag", "Ag", "Ag", "Ag", "Ag", "Ag", "Ag", "Ag", "Ge", "Ge"],
  "fractional_positions": [[0.105, 0.605, 0.711], [0.250, 0.250, 0.000], [0.395, 0.105, 0.500], [0.605, 0.895, 0.500], [0.750, 0.750, 0.000], [0.895, 0.395, 0.289], [0.000, 0.000, 0.000], [0.077, 0.166, 0.500], [0.166, 0.666, 0.089], [0.334, 0.423, 0.500], [0.423, 0.923, 0.089], [0.500, 0.500, 0.000], [0.577, 0.077, 0.911], [0.666, 0.577, 0.500], [0.834, 0.334, 0.911], [0.923, 0.834, 0.500], [0.250, 0.750, 0.500], [0.750, 0.250, 0.500]]
}

---

{
  "formula": "Li5Ag6Ge",
  "functional": "GGA-PBE",
  "state": "relaxed",
  "volume_a3_per_atom": 16.1,
  "magnetic_moment_mub_per_cell": 0.00,
  "energy_ev_per_fu": -33.60,
  "delta_e_f_mev_per_atom": -192.0,
  "cell": [[2.254, -6.790, 0.000], [2.254, 6.790, 0.000], [-0.021, 0.000, 6.299]],
  "species": ["Li", "Li", "Li", "Li", "Li", "Ag", "Ag", "Ag", "Ag", "Ag", "Ag", "Ge"],
  "fractional_positions": [[0.000, 0.000, 0.000], [0.332, 0.668, 0.000], [0.339, 0.661, 0.500], [0.661, 0.339, 0.500], [0.668, 0.332, 0.000], [0.170, 0.829, 0.251], [0.171, 0.830, 0.749], [0.499, 0.499, 0.761], [0.501, 0.501, 0.239], [0.829, 0.170, 0.251], [0.830, 0.171, 0.749], [0.000, 0.000, 0.500]]
}

---

{
  "formula": "Li2Ag8Ge",
  "functional": "GGA-PBE",
  "state": "relaxed",
  "volume_a3_per_atom": 17.2,
  "magnetic_moment_mub_per_cell": 0.00,
  "energy_ev_per_fu": -31.79,
  "delta_e_f_mev_per_atom": -48.7,
  "cell": [[7.050, -2.158, 0.000], [7.050, 2.158, 0.000], [-2.234, 0.000, 6.233]],
  "species": ["Li", "Li", "Ag", "Ag", "Ag", "Ag", "Ag", "Ag", "Ag", "Ag", "Ge"],
  "fractional_positions": [[0.223, 0.223, 0.145], [0.777, 0.777, 0.855], [0.045, 0.045, 0.225], [0.144, 0.144, 0.696], [0.320, 0.320, 0.584], [0.403, 0.403, 0.046], [0.597, 0.597, 0.954], [0.680, 0.680, 0.416], [0.856, 0.856, 0.304], [0.955, 0.955, 0.775], [0.500, 0.500, 0.500]]
}

---

{
  "formula": "Li2Ag5Ge",
  "functional": "GGA-PBE",
  "state": "relaxed",
  "volume_a3_per_atom": 16.9,
  "magnetic_moment_mub_per_cell": 0.00,
  "energy_ev_per_fu": -23.65,
  "delta_e_f_mev_per_atom": -118.2,
  "e_above_lowest_polymorph_mev_per_atom": 5.5,
  "cell": [[4.075, -4.049, 0.000], [4.075, 4.049, 0.000], [-4.061, 0.000, 4.105]],
  "species": ["Li", "Li", "Ag", "Ag", "Ag", "Ag", "Ag", "Ge"],
  "fractional_positions": [[0.000, 0.500, 0.000], [0.500, 0.000, 0.000], [0.000, 0.000, 0.000], [0.000, 0.000, 0.500], [0.000, 0.500, 0.500], [0.500, 0.000, 0.500], [0.500, 0.500, 0.000], [0.500, 0.500, 0.500]]
}